This record from Alexandria via LeMat-Bulk describes a relaxed BaHg5 crystal. The functional is GGA-PBE.

Lattice parameters (Å, degrees): 7.3717 7.3717 4.9066 90.00 90.00 137.25
With the nearest neighbours (Å) after each atom.
Atoms (fractional coordinates):
Ba1 0.0000 0.0000 0.0000  12 Hg 3.50-3.64
Hg1 0.1815 0.8185 0.5000  4 Hg 3.18-3.28, 2 Ba 3.50
Hg2 0.3294 0.6706 0.0000  6 Hg 3.18-3.46, 2 Ba 3.56
Hg3 0.5000 0.5000 0.5000  8 Hg 3.39-3.66, 4 Ba 3.64
Hg4 0.6706 0.3294 0.0000  6 Hg 3.18-3.46, 2 Ba 3.56
Hg5 0.8185 0.1815 0.5000  4 Hg 3.18-3.28, 2 Ba 3.50

Output
SG: Cmmm
E: -5.18 eV for the cell shown
DOS at the Fermi energy: 2.73 states/eV per cell


This record from Alexandria via LeMat-Bulk describes a relaxed BaHg crystal. The functional is GGA-PBE.

Lattice parameters (Å, degrees): 4.9985 4.9985 8.1469 90.00 90.00 120.00
With the nearest neighbours (Å) after each atom.
Atoms (fractional coordinates):
Ba1 0.3333 0.6667 0.2500  6 Hg 3.53
Ba2 0.6667 0.3333 0.7500  6 Hg 3.53
Hg1 0.0000 0.0000 0.0000  6 Ba 3.53
Hg2 0.0000 0.0000 0.5000  6 Ba 3.53

Output
SG: P6_3/mmc
E: -6.11 eV for the cell shown
DOS at the Fermi energy: 3.90 states/eV per cell


This record from Alexandria via LeMat-Bulk describes a relaxed BaHg3 crystal. The functional is GGA-PBE.

Lattice parameters (Å, degrees): 7.9818 5.2599 11.6986 90.00 90.00 90.00
With the nearest neighbours (Å) after each atom.
Atoms (fractional coordinates):
Ba1 0.2215 0.2500 0.1586  12 Hg 3.53-3.78
Ba2 0.2785 0.7500 0.6586  12 Hg 3.53-3.78
Ba3 0.7215 0.2500 0.3414  12 Hg 3.53-3.78
Ba4 0.7785 0.7500 0.8414  12 Hg 3.53-3.78
Hg1 0.0283 0.7500 0.4008  3 Hg 3.05-3.11
Hg2 0.0895 0.2500 0.8486  5 Hg 3.07-3.29
Hg3 0.2087 0.7500 0.9569  4 Hg 3.05-3.29
Hg4 0.2913 0.2500 0.4569  4 Hg 3.05-3.29
Hg5 0.4105 0.7500 0.3486  5 Hg 3.07-3.29
Hg6 0.4717 0.2500 0.9008  3 Hg 3.05-3.11
Hg7 0.5283 0.7500 0.0992  3 Hg 3.05-3.11
Hg8 0.5895 0.2500 0.6514  5 Hg 3.07-3.29
Hg9 0.7087 0.7500 0.5431  4 Hg 3.05-3.29
Hg10 0.7913 0.2500 0.0431  4 Hg 3.05-3.29
Hg11 0.9105 0.7500 0.1514  5 Hg 3.07-3.29
Hg12 0.9717 0.2500 0.5992  3 Hg 3.05-3.11

Output
SG: Pnma
E: -17.89 eV for the cell shown
DOS at the Fermi energy: 10.54 states/eV per cell


This record from Alexandria via LeMat-Bulk describes a relaxed BaHg6 crystal. The functional is GGA-PBE.

Lattice parameters (Å, degrees): 6.9006 6.9006 8.9373 90.00 90.00 90.00
With the nearest neighbours (Å) after each atom.
Atoms (fractional coordinates):
Ba1 0.2500 0.7500 0.0000  12 Hg 3.59-3.78
Ba2 0.7500 0.2500 0.0000  12 Hg 3.59-3.78
Hg1 0.0886 0.5886 0.3607  6 Hg 3.03-3.34
Hg2 0.0886 0.9114 0.6393  6 Hg 3.03-3.34
Hg3 0.2500 0.2500 0.1719  5 Hg 3.07-3.09
Hg4 0.2500 0.2500 0.8281  5 Hg 3.07-3.09
Hg5 0.4114 0.5886 0.6393  6 Hg 3.03-3.34
Hg6 0.4114 0.9114 0.3607  6 Hg 3.03-3.34
Hg7 0.5886 0.0886 0.6393  6 Hg 3.03-3.34
Hg8 0.5886 0.4114 0.3607  6 Hg 3.03-3.34
Hg9 0.7500 0.7500 0.1719  5 Hg 3.07-3.09
Hg10 0.7500 0.7500 0.8281  5 Hg 3.07-3.09
Hg11 0.9114 0.0886 0.3607  6 Hg 3.03-3.34
Hg12 0.9114 0.4114 0.6393  6 Hg 3.03-3.34

Output
SG: P4/nbm
DOS at the Fermi energy: 8.33 states/eV per cell
Energy above the lowest structure with this stoichiometry: 0.061 eV per atom


This record from Alexandria via LeMat-Bulk describes a relaxed Ba3Hg5 crystal. The functional is GGA-PBE.

Lattice parameters (Å, degrees): 7.1310 7.1310 5.7386 90.00 90.00 105.14
With the nearest neighbours (Å) after each atom.
Atoms (fractional coordinates):
Ba1 0.0000 0.0000 0.0000  8 Hg 3.39-3.57
Ba2 0.2904 0.7096 0.5000  10 Hg 3.47-3.75
Ba3 0.7096 0.2904 0.5000  10 Hg 3.47-3.75
Hg1 0.0000 0.5000 0.0000  6 Ba 3.57-3.62, 2 Hg 3.57
Hg2 0.2084 0.2084 0.5000  6 Ba 3.39-3.75, 1 Hg 3.61
Hg3 0.5000 0.0000 0.0000  6 Ba 3.57-3.62, 2 Hg 3.57
Hg4 0.5000 0.5000 0.0000  8 Hg 3.57-3.82, 4 Ba 3.72
Hg5 0.7916 0.7916 0.5000  6 Ba 3.39-3.75, 1 Hg 3.61

Output
SG: Cmmm
DOS at the Fermi energy: 5.78 states/eV per cell
Energy above the lowest structure with this stoichiometry: 0.000 eV per atom


This record from Alexandria via LeMat-Bulk describes a relaxed BaHg2 crystal. The functional is GGA-PBE.

Lattice parameters (Å, degrees): 8.0272 8.0272 5.7434 90.00 90.00 147.08
With the nearest neighbours (Å) after each atom.
Atoms (fractional coordinates):
Ba1 0.0994 0.9006 0.7500  10 Hg 3.47-3.67
Ba2 0.9006 0.0994 0.2500  10 Hg 3.47-3.67
Hg1 0.2302 0.7698 0.2500  2 Hg 3.17, 4 Ba 3.47-3.51
Hg2 0.4131 0.5869 0.7500  2 Hg 3.17
Hg3 0.5869 0.4131 0.2500  2 Hg 3.17
Hg4 0.7698 0.2302 0.7500  2 Hg 3.17, 4 Ba 3.47-3.51

Output
SG: Cmcm
E: -7.76 eV for the cell shown
DOS at the Fermi energy: 4.13 states/eV per cell


Copy entry 6 word for word.
This record from Alexandria via LeMat-Bulk describes a relaxed BaHg2 crystal. The functional is GGA-PBE.

Lattice parameters (Å, degrees): 8.0272 8.0272 5.7434 90.00 90.00 147.08
With the nearest neighbours (Å) after each atom.
Atoms (fractional coordinates):
Ba1 0.0994 0.9006 0.7500  10 Hg 3.47-3.67
Ba2 0.9006 0.0994 0.2500  10 Hg 3.47-3.67
Hg1 0.2302 0.7698 0.2500  2 Hg 3.17, 4 Ba 3.47-3.51
Hg2 0.4131 0.5869 0.7500  2 Hg 3.17
Hg3 0.5869 0.4131 0.2500  2 Hg 3.17
Hg4 0.7698 0.2302 0.7500  2 Hg 3.17, 4 Ba 3.47-3.51

Output
SG: Cmcm
E: -7.76 eV for the cell shown
DOS at the Fermi energy: 4.13 states/eV per cell


> Which of these has the lowest DOS at the Fermi energy?

BaHg5


Please write out number 1 again, unchanged.
This record from Alexandria via LeMat-Bulk describes a relaxed BaHg5 crystal. The functional is GGA-PBE.

Lattice parameters (Å, degrees): 7.3717 7.3717 4.9066 90.00 90.00 137.25
With the nearest neighbours (Å) after each atom.
Atoms (fractional coordinates):
Ba1 0.0000 0.0000 0.0000  12 Hg 3.50-3.64
Hg1 0.1815 0.8185 0.5000  4 Hg 3.18-3.28, 2 Ba 3.50
Hg2 0.3294 0.6706 0.0000  6 Hg 3.18-3.46, 2 Ba 3.56
Hg3 0.5000 0.5000 0.5000  8 Hg 3.39-3.66, 4 Ba 3.64
Hg4 0.6706 0.3294 0.0000  6 Hg 3.18-3.46, 2 Ba 3.56
Hg5 0.8185 0.1815 0.5000  4 Hg 3.18-3.28, 2 Ba 3.50

Output
SG: Cmmm
E: -5.18 eV for the cell shown
DOS at the Fermi energy: 2.73 states/eV per cell